The following is a PBE-GGA calculation of a relaxed structure of HfReSe2Br, from Alexandria via LeMat-Bulk.

Properties
relative energy among the computed polymorphs	0.0000	eV per atom
crystal system	tetragonal
energy relative to the elements, uncorrected	54.19	kJ/mol of atoms
Fermi-level density of states	0.20	states/eV/atom
total magnetization	5.9	μB/f.u.

Cell: 5.198 5.198 5.284 Å, 90.00 90.00 90.00°
Positions (direct):
Hf 0.000 0.000 0.000
Re 0.500 0.500 0.500
Se 0.000 0.500 0.000
Se 0.500 0.000 0.000
Br 0.000 0.000 0.500

***

The following is a PBE-GGA calculation of a relaxed structure of ZrTiZnIr, from Alexandria via LeMat-Bulk.

Properties
calculated formation energy	-460	meV/atom
crystal system	cubic
Fermi-level density of states	1.11	states/eV/atom
total magnetization	0.0	μB/f.u.

Cell: 4.582 4.582 4.582 Å, 60.00 60.00 60.00°
Positions (direct):
Zr 0.000 0.000 0.000
Ti 0.500 0.500 0.500
Zn 0.250 0.250 0.250
Ir 0.750 0.750 0.750

***

The following is a PBE-GGA calculation of a relaxed structure of AcLaSiNi, from Alexandria via LeMat-Bulk.

Properties
relative energy among the computed polymorphs	0.0000	eV per atom
crystal system	trigonal
energy relative to the elements, uncorrected	-49.29	kJ/mol of atoms
Fermi-level density of states	1.08	states/eV/atom
total magnetization	0.0	μB/f.u.

Cell: 8.079 8.079 8.079 Å, 29.87 29.87 29.87°
Positions (direct):
Ac 0.000 0.000 0.000
La 0.830 0.830 0.830
Si 0.245 0.245 0.245
Ni 0.572 0.572 0.572

***

no.,theoretical density (g/cm3),E (eV per atom)
1,7.0,-5.647
2,9.7,-7.104
3,6.5,-5.571